Here is crystalline ErZrSb at its relaxed geometry from Alexandria. Energies are from PBE.

abc: 4.302 4.302 8.157
angles: 90.00 90.00 90.00
Sites, in units of the cell vectors:
1 Er 0.250 0.250 0.149
2 Er 0.750 0.750 0.851
3 Zr 0.250 0.750 0.500
4 Zr 0.750 0.250 0.500
5 Sb 0.250 0.250 0.767
6 Sb 0.750 0.750 0.233

Summary:
- formation energy without anion corrections (eV/atom) = -0.790
- total magnetization (μB per atom) = 0.000
- energy (eV/f.u.) = -19.6